First-principles (PBE) data for UPaHg after structural relaxation, as listed in OQMD.

Summary:
The calculation puts the size of the total moment at 5.00 Bohr magnetons per cell. For the formation energy, the calculation gives 0.75 eV/atom.

```
3
Lattice="0.0000 3.4386 3.4386 3.4386 0.0000 3.4386 3.4386 3.4386 0.0000" Properties=species:S:1:pos:R:3 pbc="T T T"
Pa 5.1579 5.1579 5.1579
Hg 1.7193 1.7193 1.7193
U 0.0000 0.0000 0.0000
```